First-principles (PBE-GGA) data for crystalline TaAs2HSe at its relaxed geometry, as listed in the Alexandria database.

It has space group P4/mmm (No. 123), with a = 3.905 Å, b = 3.905 Å, c = 5.110 Å, α = 90.00°, β = 90.00° and γ = 90.00°. The inequivalent atoms are Ta at (0.000, 0.000, 0.000), As at (0.000, 0.500, 0.500), H at (0.500, 0.500, 0.500) and Se at (0.500, 0.500, 0.000).

Its density of states at the Fermi level is 0.65 states/eV per atom. The total energy is -5.064 eV per atom. The value obtained for the distance to the lowest polymorph of the same formula is 63 meV/atom.

First-principles (PBE-GGA) data for crystalline KZrCu at its relaxed geometry, as listed in the Alexandria database.

It has space group P3m1 (No. 156), with a = 3.3069 Å, b = 3.3069 Å, c = 8.1361 Å, α = 90.00°, β = 90.00° and γ = 120.00°. The inequivalent atoms are K at (0.0000, 0.0000, 0.0000), Zr at (0.3333, 0.6667, 0.4234) and Cu at (0.6667, 0.3333, 0.6607).

Its density of states at the Fermi level is 0.68 states/eV per atom. The value obtained for the formation energy from the elements is 55.8 kJ per mole of atoms. The total energy is -4.002 eV per atom. The value obtained for the distance to the lowest polymorph of the same formula is 139 meV/atom.

First-principles (PBE-GGA) data for crystalline NaMg6Rh5 at its relaxed geometry, as listed in the Alexandria database.

It has space group Cmmm (No. 65), with a = 4.484 Å, b = 13.481 Å, c = 6.366 Å, α = 90.00°, β = 90.00° and γ = 90.00°. The inequivalent atoms are Na at (0.000, 0.000, 0.000), Mg at (0.000, 0.175, 0.260), Mg at (0.000, 0.500, 0.267), Rh at (0.000, 0.000, 0.500), Rh at (0.000, 0.337, 0.000) and Rh at (0.000, 0.338, 0.500).

Its density of states at the Fermi level is 0.45 states/eV per atom. The value obtained for the formation energy from the elements is -36.6 kJ per mole of atoms. The total energy is -4.350 eV per atom.

First-principles (PBE-GGA) data for crystalline FeCoRu2 at its relaxed geometry, as listed in the Alexandria database.

It has space group Cmmm (No. 65), with a = 5.264 Å, b = 7.250 Å, c = 2.632 Å, α = 90.00°, β = 90.00° and γ = 90.00°. The inequivalent atoms are Fe at (0.000, 0.000, 0.000), Co at (0.000, 0.500, 0.000) and Ru at (0.250, 0.250, 0.500).

Its density of states at the Fermi level is 1.39 states/eV per atom. The value obtained for the formation energy from the elements is 16.4 kJ per mole of atoms. The total energy is -8.360 eV per atom. The value obtained for the distance to the lowest polymorph of the same formula is 55 meV/atom.

First-principles (PBE-GGA) data for crystalline Hf5Zr2Os2Pd at its relaxed geometry, as listed in the Alexandria database.

It has space group P4/mbm (No. 127), with a = 11.272 Å, b = 11.272 Å, c = 3.261 Å, α = 90.00°, β = 90.00° and γ = 90.00°. The inequivalent atoms are Hf at (0.000, 0.500, 0.000), Hf at (0.048, 0.200, 0.000), Zr at (0.184, 0.684, 0.500), Os at (0.138, 0.362, 0.500) and Pd at (0.000, 0.000, 0.500).

Its density of states at the Fermi level is 0.99 states/eV per atom. The value obtained for the formation energy from the elements is -32.5 kJ per mole of atoms. The total energy is -9.789 eV per atom.

First-principles (PBE-GGA) data for crystalline SiSb2Au at its relaxed geometry, as listed in the Alexandria database.

It has space group Pm (No. 6), with a = 4.399 Å, b = 4.064 Å, c = 5.779 Å, α = 90.00°, β = 91.71° and γ = 90.00°. The inequivalent atoms are Si at (0.000, 0.000, 0.000), Sb at (0.550, 0.000, 0.689), Sb at (0.860, 0.500, 0.306) and Au at (0.354, 0.500, 0.989).

Its density of states at the Fermi level is 0.34 states/eV per atom. The value obtained for the formation energy without anion corrections is 159 meV per atom. The total energy is -4.077 eV per atom.